1.
Density functional theory data (PBE) for a relaxed TaCrTc2 crystal.

```
TaCrTc2
1.0
1.391 0.803 8.928
-1.391 0.803 8.928
0.000 -1.606 8.928
Ta Cr Tc
1 1 2
direct
0.000 0.000 0.000 Ta
0.500 0.500 0.500 Cr
0.242 0.242 0.242 Tc
0.758 0.758 0.758 Tc
```

Properties
- SG = R-3m (166)
- crystal system = trigonal



2.
Density functional theory data (PBE) for a relaxed Ta2CrTc crystal.

```
Ta2CrTc
1.0
-1.852 1.852 4.668
1.852 -1.852 4.668
1.852 1.852 -4.668
Ta Cr Tc
2 1 1
direct
0.000 0.000 0.000 Ta
0.750 0.250 0.500 Ta
0.500 0.500 0.000 Cr
0.250 0.750 0.500 Tc
```

Properties
- SG = I-4m2 (119)
- crystal system = tetragonal



3.
Density functional theory data (PBE) for a relaxed Ta6CrTc5 crystal.

```
Ta6CrTc5
1.0
-2.244 3.175 6.735
2.244 -3.175 6.735
2.244 3.175 -6.735
Ta Cr Tc
6 1 5
direct
0.083 0.335 0.748 Ta
0.247 0.000 0.247 Ta
0.413 0.665 0.748 Ta
0.587 0.335 0.252 Ta
0.753 0.000 0.753 Ta
0.917 0.665 0.252 Ta
0.000 0.500 0.500 Cr
0.167 0.167 0.000 Tc
0.333 0.833 0.500 Tc
0.500 0.500 0.000 Tc
0.667 0.167 0.500 Tc
0.833 0.833 0.000 Tc
```

Properties
- SG = Immm (71)
- crystal system = orthorhombic



4.
Density functional theory data (PBE) for a relaxed TaCrTc2 crystal.

```
TaCrTc2
1.0
2.737 0.000 0.000
0.000 4.269 0.000
-0.815 0.000 5.078
Ta Cr Tc
1 1 2
direct
0.000 0.000 0.000 Ta
0.500 0.000 0.500 Cr
0.260 0.500 0.736 Tc
0.740 0.500 0.264 Tc
```

Properties
- SG = P2/m (10)
- crystal system = monoclinic



5.
Density functional theory data (PBE) for a relaxed Ta2CrTc crystal.

```
Ta2CrTc
1.0
-1.424 2.380 5.045
1.424 -2.380 5.045
1.424 2.380 -5.045
Ta Cr Tc
2 1 1
direct
0.248 0.248 0.000 Ta
0.752 0.752 0.000 Ta
0.000 0.000 0.000 Cr
0.500 0.500 0.000 Tc
```

Properties
- SG = Immm (71)
- crystal system = orthorhombic



6.
Density functional theory data (PBE) for a relaxed TaCr3Tc crystal.

```
TaCr3Tc
1.0
4.428 0.000 0.000
0.000 4.428 0.000
0.000 0.000 4.428
Ta Cr Tc
1 3 1
direct
0.000 0.000 0.000 Ta
0.000 0.500 0.500 Cr
0.500 0.000 0.500 Cr
0.500 0.500 0.000 Cr
0.500 0.500 0.500 Tc
```

Properties
- SG = Pm-3m (221)
- relative energy among the computed polymorphs (meV/atom) = 0
- crystal system = cubic



7.
Density functional theory data (PBE) for a relaxed Ta3CrTc2 crystal.

```
Ta3CrTc2
1.0
3.161 0.000 0.000
0.000 3.161 0.000
0.000 0.000 9.495
Ta Cr Tc
3 1 2
direct
0.000 0.000 0.000 Ta
0.000 0.000 0.338 Ta
0.000 0.000 0.662 Ta
0.500 0.500 0.500 Cr
0.500 0.500 0.168 Tc
0.500 0.500 0.832 Tc
```

Properties
- SG = P4/mmm (123)
- crystal system = tetragonal



8.
Density functional theory data (PBE) for a relaxed Ta2CrTc crystal.

```
Ta2CrTc
1.0
1.506 0.870 8.163
-1.506 0.870 8.163
0.000 -1.739 8.163
Ta Cr Tc
2 1 1
direct
0.247 0.247 0.247 Ta
0.753 0.753 0.753 Ta
0.500 0.500 0.500 Cr
0.000 0.000 0.000 Tc
```

Properties
- SG = R-3m (166)
- crystal system = trigonal



The calculation returns the following E values, one per record and in order: -41.406, -43.357, -137.670, -42.228, -40.435, -43.980, -68.002, -43.016 eV for the cell shown.
The calculation returns the following formation energy from the elements values, one per record and in order: 0.20, 0.08, -0.43, 0.00, 0.81, 1.42, -0.35, 0.17 eV per atom.